## NaCdSe (PBE)

Data for a geometry-optimized NaCdSe structure.

Properties
* crystal system: monoclinic
* excess energy over the best structure of this formula in the dataset: 56 meV/atom
* SG: Cm, No. 8

Cell and atoms, written as POSCAR:
```
NaCdSe
1.0
8.411 0.000 0.000
0.000 9.657 0.000
-1.818 0.000 3.908
Na Cd Se
4 4 4
direct
0.000 0.000 0.000
0.107 0.500 0.337
0.500 0.500 0.000
0.607 0.000 0.337
0.269 0.145 0.754
0.269 0.855 0.754
0.769 0.355 0.754
0.769 0.645 0.754
0.402 0.290 0.380
0.402 0.710 0.380
0.902 0.210 0.380
0.902 0.790 0.380
```